w) The following is a GGA-PBE calculation of an optimized crystal structure of Tm3In4Hg2, from the Alexandria database.

abc: 4.435 7.666 7.666
angles: 120.00 90.00 90.00
Fractional coordinates of all 9 atoms:
Tm1 0.500 0.411 0.000
Tm2 0.500 0.589 0.589
In1 0.000 0.260 0.260
In2 0.000 0.000 0.740
Hg1 0.000 0.667 0.333
Tm3 0.500 0.000 0.411
In3 0.000 0.740 0.000
In4 0.500 0.000 0.000
Hg2 0.000 0.333 0.667

The calculated volume is 226 Å³ per cell. As for the space-group type: P-62m, No. 189.



x) The following is a GGA-PBE calculation of an optimized crystal structure of Tm3In4Hg2, from the Alexandria database.

abc: 4.913 6.084 8.546
angles: 76.46 73.30 66.19
Fractional coordinates of all 9 atoms:
In1 0.717 0.620 0.946
In2 0.966 0.701 0.367
In3 0.283 0.380 0.054
Tm1 0.669 0.324 0.338
In4 0.034 0.299 0.633
Tm2 0.331 0.676 0.662
Tm3 0.000 0.000 0.000
Hg1 0.366 0.965 0.303
Hg2 0.634 0.035 0.697

The calculated volume is 222 Å³ per cell. As for the space-group type: C2/m, No. 12.



Most stable: x) (next structure +34 meV per atom)